! Sc2OsW | the Alexandria database | PBE-GGA | optimized geometry; values from VASP
! Energy above the most stable polymorph in this dataset (eV/f.u.): 0.02
! Formation energy from the elements (eV/atom): -0.097
! Space-group type: Imm2, No. 44
! Uncorrected energy (eV per cell): -37.23
&SYSTEM
  ibrav = 0, nat = 4, ntyp = 3
/
ATOMIC_SPECIES
Os 190.23 Os.upf
Sc 44.96 Sc.upf
W 183.84 W.upf
CELL_PARAMETERS angstrom
5.600 0.002 0.006
4.691 3.058 0.006
1.973 0.587 4.231
ATOMIC_POSITIONS crystal
Os 0.236 0.236 0.264
Sc 0.980 0.980 0.020
Sc 0.759 0.759 0.741
W 0.526 0.526 0.474